Record 1
VASP calculation (SCAN) on a PBEsol-optimized structure of KLi2Sc.

Cell and atoms, written as CIF:
```
data_KLi2Sc
_symmetry_space_group_name_H-M 'P 1'
_symmetry_Int_Tables_number 1
_symmetry_space_group_name_Hall 'P 1'
_cell_length_a 3.5816
_cell_length_b 3.5816
_cell_length_c 9.0431
_cell_angle_alpha 90.00
_cell_angle_beta 90.00
_cell_angle_gamma 90.00
loop_
_atom_site_label
_atom_site_fract_x
_atom_site_fract_y
_atom_site_fract_z
K1 0.5000 0.5000 0.5000
Li1 0.0000 0.0000 0.8038
Li2 0.0000 0.0000 0.1962
Sc1 0.5000 0.5000 0.0000
```

Calculated values
ΔE_f ... 0.28 eV/atom
Theoretical density ... 1.40 Mg/m³
E above lowest polymorph ... 0 meV per atom
Total DFT energy (no corrections) ... -26.2 eV per cell

=====

Record 2
VASP calculation (SCAN) on a PBEsol-optimized structure of KLiSc2.

Cell and atoms, written as CIF:
```
data_KLiSc2
_symmetry_space_group_name_H-M 'P 1'
_symmetry_Int_Tables_number 1
_symmetry_space_group_name_Hall 'P 1'
_cell_length_a 3.3358
_cell_length_b 6.0882
_cell_length_c 6.6435
_cell_angle_alpha 117.27
_cell_angle_beta 104.54
_cell_angle_gamma 90.00
loop_
_atom_site_label
_atom_site_fract_x
_atom_site_fract_y
_atom_site_fract_z
K1 0.4811 0.4811 0.9622
Li1 0.7357 0.2357 0.4714
Sc1 0.0090 0.0090 0.0180
Sc2 0.2742 0.7742 0.5484
```

Calculated values
ΔE_f ... 0.58 eV/atom
Theoretical density ... 1.96 Mg/m³
E above lowest polymorph ... 89 meV per atom
Total DFT energy (no corrections) ... -36.9 eV per cell

=====

Record 3
VASP calculation (SCAN) on a PBEsol-optimized structure of KLiSc2.

Cell and atoms, written as CIF:
```
data_KLiSc2
_symmetry_space_group_name_H-M 'P 1'
_symmetry_Int_Tables_number 1
_symmetry_space_group_name_Hall 'P 1'
_cell_length_a 3.2658
_cell_length_b 5.5767
_cell_length_c 7.0123
_cell_angle_alpha 113.43
_cell_angle_beta 103.47
_cell_angle_gamma 90.00
loop_
_atom_site_label
_atom_site_fract_x
_atom_site_fract_y
_atom_site_fract_z
K1 0.0000 0.5000 0.0000
Li1 0.5000 0.0000 0.0000
Sc1 0.7682 0.7682 0.5364
Sc2 0.2318 0.2318 0.4636
```

Calculated values
ΔE_f ... 0.49 eV/atom
Theoretical density ... 1.99 Mg/m³
E above lowest polymorph ... 0 meV per atom
Total DFT energy (no corrections) ... -37.2 eV per cell

=====

Record 4
VASP calculation (SCAN) on a PBEsol-optimized structure of KLi3Sc.

Cell and atoms, written as CIF:
```
data_KLi3Sc
_symmetry_space_group_name_H-M 'P 1'
_symmetry_Int_Tables_number 1
_symmetry_space_group_name_Hall 'P 1'
_cell_length_a 5.1154
_cell_length_b 5.1154
_cell_length_c 5.1154
_cell_angle_alpha 90.00
_cell_angle_beta 90.00
_cell_angle_gamma 90.00
loop_
_atom_site_label
_atom_site_fract_x
_atom_site_fract_y
_atom_site_fract_z
Sc1 0.5000 0.5000 0.5000
K1 0.0000 0.0000 0.0000
Li1 0.0000 0.5000 0.0000
Li2 0.0000 0.0000 0.5000
Li3 0.5000 0.0000 0.0000
```

Calculated values
ΔE_f ... 0.82 eV/atom
Theoretical density ... 1.30 Mg/m³
E above lowest polymorph ... 145 meV per atom
Total DFT energy (no corrections) ... -25.6 eV per cell

=====

Record 5
VASP calculation (SCAN) on a PBEsol-optimized structure of KLi2Se.

Cell and atoms, written as CIF:
```
data_KLi2Se
_symmetry_space_group_name_H-M 'P 1'
_symmetry_Int_Tables_number 1
_symmetry_space_group_name_Hall 'P 1'
_cell_length_a 4.5583
_cell_length_b 4.5255
_cell_length_c 4.5255
_cell_angle_alpha 90.00
_cell_angle_beta 90.00
_cell_angle_gamma 90.00
loop_
_atom_site_label
_atom_site_fract_x
_atom_site_fract_y
_atom_site_fract_z
K1 0.5000 0.0000 0.0000
Se1 0.5000 0.5000 0.5000
Li1 0.0000 0.0000 0.5000
Li2 0.0000 0.5000 0.0000
```

Calculated values
E_form (uncorrected) ... -0.6030 eV/atom
Theoretical density ... 2.35 Mg/m³
Total DFT energy (no corrections) ... -35.6 eV per cell

=====

Record 6
VASP calculation (SCAN) on a PBEsol-optimized structure of KLiSe3.

Cell and atoms, written as CIF:
```
data_KLiSe3
_symmetry_space_group_name_H-M 'P 1'
_symmetry_Int_Tables_number 1
_symmetry_space_group_name_Hall 'P 1'
_cell_length_a 4.8236
_cell_length_b 4.8236
_cell_length_c 4.8236
_cell_angle_alpha 90.00
_cell_angle_beta 90.00
_cell_angle_gamma 90.00
loop_
_atom_site_label
_atom_site_fract_x
_atom_site_fract_y
_atom_site_fract_z
K1 0.5000 0.5000 0.5000
Se1 0.0000 0.5000 0.0000
Se2 0.0000 0.0000 0.5000
Se3 0.5000 0.0000 0.0000
Li1 0.0000 0.0000 0.0000
```

Calculated values
E_form (uncorrected) ... -0.3324 eV/atom
Theoretical density ... 4.19 Mg/m³
Total DFT energy (no corrections) ... -72.6 eV per cell